# 1
# Y2BiSbRh (PBE-GGA, relaxed)
# Total magnetization   0.16 μB per formula unit
# ΔE_f (raw)   1.0 eV per formula unit
data_Y2BiSbRh
_symmetry_space_group_name_H-M 'P 1'
_symmetry_Int_Tables_number 1
_symmetry_space_group_name_Hall 'P 1'
_cell_length_a 5.762
_cell_length_b 5.762
_cell_length_c 4.939
_cell_angle_alpha 90.00
_cell_angle_beta 90.00
_cell_angle_gamma 90.00
loop_
_atom_site_label
_atom_site_fract_x
_atom_site_fract_y
_atom_site_fract_z
Y1 0.000 0.500 0.000
Y2 0.500 0.000 0.000
Bi1 0.000 0.000 0.000
Sb1 0.500 0.500 0.500
Rh1 0.000 0.000 0.500

***

# 2
# Dy2AgHg6 (PBE-GGA, relaxed)
# Relative energy among the computed polymorphs   0.0570 eV/atom
# Total magnetization   0.00 μB per formula unit
# DFT formation energy   -180 kJ/mol of formula units
data_Dy2AgHg6
_symmetry_space_group_name_H-M 'P 1'
_symmetry_Int_Tables_number 1
_symmetry_space_group_name_Hall 'P 1'
_cell_length_a 5.939
_cell_length_b 5.939
_cell_length_c 6.068
_cell_angle_alpha 91.74
_cell_angle_beta 91.74
_cell_angle_gamma 92.01
loop_
_atom_site_label
_atom_site_fract_x
_atom_site_fract_y
_atom_site_fract_z
Dy1 0.178 0.178 0.177
Dy2 0.822 0.822 0.823
Ag1 0.500 0.500 0.500
Hg1 0.003 0.668 0.336
Hg2 0.332 0.668 0.000
Hg3 0.332 0.997 0.664
Hg4 0.668 0.003 0.336
Hg5 0.668 0.332 0.000
Hg6 0.997 0.332 0.664

***

# 3
# Tb2UF11 (PBE-GGA, relaxed)
# Total magnetization   1.00 μB per formula unit
# ΔE_f (raw)   -53.6 eV per formula unit
data_Tb2UF11
_symmetry_space_group_name_H-M 'P 1'
_symmetry_Int_Tables_number 1
_symmetry_space_group_name_Hall 'P 1'
_cell_length_a 8.621
_cell_length_b 8.621
_cell_length_c 8.621
_cell_angle_alpha 123.72
_cell_angle_beta 106.17
_cell_angle_gamma 99.58
loop_
_atom_site_label
_atom_site_fract_x
_atom_site_fract_y
_atom_site_fract_z
Tb1 0.183 0.135 0.317
Tb2 0.317 0.635 0.952
Tb3 0.683 0.365 0.048
Tb4 0.817 0.865 0.683
U1 0.250 0.750 0.500
U2 0.750 0.250 0.500
F1 0.000 0.000 0.000
F2 0.021 0.444 0.773
F3 0.074 0.836 0.640
F4 0.171 0.944 0.423
F5 0.196 0.433 0.360
F6 0.226 0.873 0.099
F7 0.274 0.373 0.647
F8 0.304 0.664 0.237
F9 0.329 0.752 0.773
F10 0.426 0.067 0.763
F11 0.479 0.252 0.423
F12 0.500 0.500 0.000
F13 0.521 0.748 0.577
F14 0.574 0.933 0.237
F15 0.671 0.248 0.227
F16 0.696 0.336 0.763
F17 0.726 0.627 0.353
F18 0.774 0.127 0.901
F19 0.804 0.567 0.640
F20 0.829 0.056 0.577
F21 0.926 0.164 0.360
F22 0.979 0.556 0.227

***

# 4
# Pr8TlCd2 (PBE-GGA, relaxed)
# Total magnetization   0.00 μB per formula unit
# DFT formation energy   -186 kJ/mol of formula units
data_Pr8TlCd2
_symmetry_space_group_name_H-M 'P 1'
_symmetry_Int_Tables_number 1
_symmetry_space_group_name_Hall 'P 1'
_cell_length_a 8.928
_cell_length_b 8.928
_cell_length_c 8.924
_cell_angle_alpha 119.37
_cell_angle_beta 119.37
_cell_angle_gamma 36.32
loop_
_atom_site_label
_atom_site_fract_x
_atom_site_fract_y
_atom_site_fract_z
Pr1 0.070 0.070 0.221
Pr2 0.139 0.139 0.690
Pr3 0.319 0.319 0.549
Pr4 0.408 0.408 0.051
Pr5 0.592 0.592 0.949
Pr6 0.681 0.681 0.451
Pr7 0.861 0.861 0.310
Pr8 0.930 0.930 0.779
Tl1 0.500 0.500 0.500
Cd1 0.227 0.227 0.116
Cd2 0.773 0.773 0.884

***

# 5
# LaTmMnCd (PBE-GGA, relaxed)
# Total magnetization   3.10 μB per formula unit
# DFT formation energy   5 kJ/mol of formula units
data_LaTmMnCd
_symmetry_space_group_name_H-M 'P 1'
_symmetry_Int_Tables_number 1
_symmetry_space_group_name_Hall 'P 1'
_cell_length_a 5.268
_cell_length_b 5.268
_cell_length_c 5.268
_cell_angle_alpha 60.00
_cell_angle_beta 60.00
_cell_angle_gamma 60.00
loop_
_atom_site_label
_atom_site_fract_x
_atom_site_fract_y
_atom_site_fract_z
La1 0.000 0.000 0.000
Tm1 0.500 0.500 0.500
Mn1 0.250 0.250 0.250
Cd1 0.750 0.750 0.750

***

# 6
# SrPBr (PBE-GGA, relaxed)
# Relative energy among the computed polymorphs   0.0322 eV/atom
# Total magnetization   0.00 μB per formula unit
# ΔE_f (raw)   -3.7 eV per formula unit
data_SrPBr
_symmetry_space_group_name_H-M 'P 1'
_symmetry_Int_Tables_number 1
_symmetry_space_group_name_Hall 'P 1'
_cell_length_a 5.997
_cell_length_b 5.997
_cell_length_c 8.781
_cell_angle_alpha 104.89
_cell_angle_beta 104.89
_cell_angle_gamma 39.29
loop_
_atom_site_label
_atom_site_fract_x
_atom_site_fract_y
_atom_site_fract_z
Sr1 0.137 0.137 0.201
Sr2 0.863 0.863 0.799
P1 0.234 0.234 0.550
P2 0.766 0.766 0.450
Br1 0.395 0.395 0.111
Br2 0.605 0.605 0.889

***

# 7
# AcMgIn (PBE-GGA, relaxed)
# Relative energy among the computed polymorphs   0.0249 eV/atom
# Total magnetization   0.16 μB per formula unit
# DFT formation energy   -104 kJ/mol of formula units
data_AcMgIn
_symmetry_space_group_name_H-M 'P 1'
_symmetry_Int_Tables_number 1
_symmetry_space_group_name_Hall 'P 1'
_cell_length_a 4.859
_cell_length_b 4.859
_cell_length_c 7.961
_cell_angle_alpha 90.00
_cell_angle_beta 90.00
_cell_angle_gamma 90.00
loop_
_atom_site_label
_atom_site_fract_x
_atom_site_fract_y
_atom_site_fract_z
Ac1 0.250 0.250 0.169
Ac2 0.750 0.750 0.831
Mg1 0.250 0.750 0.500
Mg2 0.750 0.250 0.500
In1 0.250 0.250 0.730
In2 0.750 0.750 0.270

***

# 8
# CeBrF (PBE-GGA, relaxed)
# Total magnetization   1.36 μB per formula unit
# ΔE_f (raw)   -7.4 eV per formula unit
data_CeBrF
_symmetry_space_group_name_H-M 'P 1'
_symmetry_Int_Tables_number 1
_symmetry_space_group_name_Hall 'P 1'
_cell_length_a 4.279
_cell_length_b 4.279
_cell_length_c 4.089
_cell_angle_alpha 90.00
_cell_angle_beta 90.00
_cell_angle_gamma 120.00
loop_
_atom_site_label
_atom_site_fract_x
_atom_site_fract_y
_atom_site_fract_z
Ce1 0.000 0.000 0.000
Br1 0.333 0.667 0.500
F1 0.667 0.333 0.000

***

# 9
# ScUTcNi (PBE-GGA, relaxed)
# Total magnetization   1.65 μB per formula unit
# DFT formation energy   -59 kJ/mol of formula units
data_ScUTcNi
_symmetry_space_group_name_H-M 'P 1'
_symmetry_Int_Tables_number 1
_symmetry_space_group_name_Hall 'P 1'
_cell_length_a 4.636
_cell_length_b 4.636
_cell_length_c 4.636
_cell_angle_alpha 60.00
_cell_angle_beta 60.00
_cell_angle_gamma 60.00
loop_
_atom_site_label
_atom_site_fract_x
_atom_site_fract_y
_atom_site_fract_z
Sc1 0.000 0.000 0.000
U1 0.500 0.500 0.500
Tc1 0.250 0.250 0.250
Ni1 0.750 0.750 0.750

***

# 10
# Zn2RhBr (PBE-GGA, relaxed)
# Relative energy among the computed polymorphs   0.4659 eV/atom
# Total magnetization   0.00 μB per formula unit
# ΔE_f (raw)   1.0 eV per formula unit
data_Zn2RhBr
_symmetry_space_group_name_H-M 'P 1'
_symmetry_Int_Tables_number 1
_symmetry_space_group_name_Hall 'P 1'
_cell_length_a 3.149
_cell_length_b 3.149
_cell_length_c 8.459
_cell_angle_alpha 90.00
_cell_angle_beta 90.00
_cell_angle_gamma 120.61
loop_
_atom_site_label
_atom_site_fract_x
_atom_site_fract_y
_atom_site_fract_z
Zn1 0.000 0.000 0.000
Zn2 0.500 0.500 0.249
Rh1 0.500 0.500 0.768
Br1 0.000 0.000 0.519

***

# 11
# PtS2I2 (PBE-GGA, relaxed)
# Relative energy among the computed polymorphs   0.2500 eV/atom
# Total magnetization   0.00 μB per formula unit
# ΔE_f (raw)   1.7 eV per formula unit
data_PtS2I2
_symmetry_space_group_name_H-M 'P 1'
_symmetry_Int_Tables_number 1
_symmetry_space_group_name_Hall 'P 1'
_cell_length_a 6.629
_cell_length_b 6.629
_cell_length_c 5.593
_cell_angle_alpha 90.00
_cell_angle_beta 90.00
_cell_angle_gamma 90.00
loop_
_atom_site_label
_atom_site_fract_x
_atom_site_fract_y
_atom_site_fract_z
Pt1 0.000 0.000 0.000
Pt2 0.500 0.500 0.000
S1 0.179 0.321 0.000
S2 0.321 0.821 0.000
S3 0.679 0.179 0.000
S4 0.821 0.679 0.000
I1 0.180 0.320 0.500
I2 0.320 0.820 0.500
I3 0.680 0.180 0.500
I4 0.820 0.680 0.500

***

# 12
# LaCeTh14 (PBE-GGA, relaxed)
# Total magnetization   0.00 μB per formula unit
# DFT formation energy   53 kJ/mol of formula units
data_LaCeTh14
_symmetry_space_group_name_H-M 'P 1'
_symmetry_Int_Tables_number 1
_symmetry_space_group_name_Hall 'P 1'
_cell_length_a 10.150
_cell_length_b 7.096
_cell_length_c 7.096
_cell_angle_alpha 90.00
_cell_angle_beta 90.00
_cell_angle_gamma 90.00
loop_
_atom_site_label
_atom_site_fract_x
_atom_site_fract_y
_atom_site_fract_z
La1 0.000 0.000 0.000
Ce1 0.000 0.499 0.499
Th1 0.000 0.500 0.999
Th2 0.000 0.999 0.500
Th3 0.250 0.251 0.251
Th4 0.250 0.251 0.748
Th5 0.250 0.748 0.251
Th6 0.251 0.748 0.748
Th7 0.500 0.000 0.000
Th8 0.500 0.000 0.500
Th9 0.500 0.500 0.000
Th10 0.500 0.500 0.500
Th11 0.749 0.748 0.748
Th12 0.750 0.251 0.251
Th13 0.750 0.251 0.748
Th14 0.750 0.748 0.251